DFT (PBE) results for a relaxed structure of GaCu3Pt4.

Results
Mass density   15.4 g cm⁻³
Formation energy from the elements   -2.595 eV per formula unit
Volume   14.1 Å³/atom
Crystal system   tetragonal

Structure (extended XYZ):
```
8
Lattice="4.316 0.000 0.000 0.000 4.316 0.000 0.000 0.000 6.037" Properties=species:S:1:pos:R:3 pbc="T T T"
Ga 0.000 0.000 0.000
Cu 0.000 0.000 3.019
Cu 2.158 2.158 0.000
Cu 2.158 2.158 3.019
Pt 0.000 2.158 1.506
Pt 0.000 2.158 4.531
Pt 2.158 0.000 1.506
Pt 2.158 0.000 4.531
```

=====

DFT (PBE) results for a relaxed structure of ScInP.

Results
Mass density   4.6 g cm⁻³
Energy relative to the lowest polymorph listed for this composition   36.8 kJ per mole of atoms
Formation energy from the elements   -0.653 eV per formula unit
Volume   22.8 Å³/atom
Crystal system   cubic

Structure (extended XYZ):
```
12
Lattice="6.489 0.000 0.000 0.000 6.489 0.000 0.000 0.000 6.489" Properties=species:S:1:pos:R:3 pbc="T T T"
Sc 0.000 0.000 0.000
Sc 0.000 3.245 3.245
Sc 3.245 0.000 3.245
Sc 3.245 3.245 0.000
In 0.000 0.000 3.245
In 0.000 3.245 0.000
In 3.245 0.000 0.000
In 3.245 3.245 3.245
P 1.622 1.622 4.867
P 1.622 4.867 1.622
P 4.867 1.622 1.622
P 4.867 4.867 4.867
```

=====

DFT (PBE) results for a relaxed structure of CuOs4Pt.

Results
Mass density   17.8 g cm⁻³
Formation energy from the elements   5.324 eV per formula unit
Volume   15.9 Å³/atom
Crystal system   cubic

Structure (extended XYZ):
```
6
Lattice="0.000 3.623 3.623 3.623 0.000 3.623 3.623 3.623 0.000" Properties=species:S:1:pos:R:3 pbc="T T T"
Cu 0.000 0.000 0.000
Os 4.526 2.720 2.720
Os 2.720 4.526 2.720
Os 2.720 2.720 4.526
Os 4.526 4.526 4.526
Pt 1.811 1.811 1.811
```

=====

DFT (PBE) results for a relaxed structure of LaBiB3.

Results
Mass density   5.6 g cm⁻³
Energy relative to the lowest polymorph listed for this composition   43.6 kJ per mole of atoms
Formation energy from the elements   10.297 eV per formula unit
Volume   22.4 Å³/atom
Crystal system   cubic

Structure (extended XYZ):
```
5
Lattice="4.817 0.000 0.000 0.000 4.817 0.000 0.000 0.000 4.817" Properties=species:S:1:pos:R:3 pbc="T T T"
La 0.000 0.000 0.000
Bi 2.409 2.409 2.409
B 0.000 0.000 2.409
B 0.000 2.409 0.000
B 2.409 0.000 0.000
```

=====

DFT (PBE) results for a relaxed structure of SrLaAu.

Results
Mass density   6.8 g cm⁻³
Energy relative to the lowest polymorph listed for this composition   0.8 kJ per mole of atoms
Formation energy from the elements   -1.446 eV per formula unit
Volume   34.3 Å³/atom
Crystal system   tetragonal

Structure (extended XYZ):
```
6
Lattice="3.839 0.000 0.000 0.000 3.839 0.000 0.000 0.000 13.970" Properties=species:S:1:pos:R:3 pbc="T T T"
Sr 0.000 0.000 0.000
Sr 1.919 1.919 6.985
La 0.000 0.000 10.301
La 1.919 1.919 3.316
Au 0.000 0.000 4.926
Au 1.919 1.919 11.911
```

=====

DFT (PBE) results for a relaxed structure of Hf2BeCo.

Results
Mass density   10.3 g cm⁻³
Formation energy from the elements   1.940 eV per formula unit
Volume   17.1 Å³/atom
Crystal system   trigonal

Structure (extended XYZ):
```
12
Lattice="3.025 0.000 0.000 -1.513 2.620 0.000 0.000 0.000 25.888" Properties=species:S:1:pos:R:3 pbc="T T T"
Hf 0.000 0.000 2.370
Hf 0.000 0.000 23.517
Hf 0.000 1.747 14.888
Hf 0.000 1.747 19.629
Hf 1.513 0.873 6.259
Hf 1.513 0.873 11.000
Be 0.000 0.000 12.944
Be 0.000 1.747 4.315
Be 1.513 0.873 21.573
Co 0.000 0.000 0.000
Co 0.000 1.747 17.258
Co 1.513 0.873 8.629
```

=====

DFT (PBE) results for a relaxed structure of Na2TbPrO4.

Results
Mass density   5.6 g cm⁻³
Volume   15.3 Å³/atom
Crystal system   monoclinic
Raw formation energy   -2662 meV/atom

Structure (extended XYZ):
```
8
Lattice="5.985 0.000 0.000 0.000 3.538 0.000 -2.098 0.000 5.764" Properties=species:S:1:pos:R:3 pbc="T T T"
Na 0.000 0.000 0.000
Na -1.049 1.769 2.882
Tb 1.944 0.000 2.882
Pr 2.993 1.769 0.000
O 0.125 0.000 4.328
O 1.147 1.769 1.563
O 2.740 1.769 4.202
O 3.762 0.000 1.436
```

=====

DFT (PBE) results for a relaxed structure of Cr2CuNi8.

Results
Mass density   8.2 g cm⁻³
Formation energy from the elements   2.769 eV per formula unit
Volume   11.7 Å³/atom
Crystal system   monoclinic

Structure (extended XYZ):
```
11
Lattice="3.134 -5.663 0.000 3.134 5.663 0.000 -2.059 0.000 3.635" Properties=species:S:1:pos:R:3 pbc="T T T"
Cr 3.134 3.471 0.000
Cr 3.134 -3.471 0.000
Cu 2.104 0.000 1.817
Ni -0.093 0.000 1.104
Ni 0.033 1.297 3.086
Ni 2.104 2.385 1.817
Ni 0.033 -1.297 3.086
Ni 4.175 1.297 0.549
Ni 2.104 -2.385 1.817
Ni 4.175 -1.297 0.549
Ni 4.301 0.000 2.531
```

=====

Question: Look up the mass density of the third one.
Answer: 17.8 g cm⁻³

=====

Question: Which value of volume does entry 4 give?
Answer: 22.4 Å³/atom

=====

Question: volume of number 6 (Hf2BeCo)?
Answer: 17.1 Å³/atom

=====

Question: The highest mass density belongs to which entry?
Answer: CuOs4Pt